Compound: ReIr3Ru2
Source: the Alexandria database
Functional: PBE
Structure: optimized geometry

Results
* DFT formation energy: -0.085 eV per atom
* VASP energy: -116.18 eV for the cell shown
* DOS at the Fermi energy: 0.847 states/eV per atom

a b c (Å): 3.861 5.443 8.206
angles (deg): 90.20 90.00 90.00
Element x y z (fractional)
Ru: 0.250 0.371 0.412
Ru: 0.750 0.123 0.920
Re: 0.750 0.131 0.249
Ir: 0.750 0.625 0.252
Ir: 0.250 0.375 0.748
Ir: 0.750 0.125 0.582
Ir: 0.250 0.875 0.418
Re: 0.250 0.869 0.751
Ir: 0.750 0.632 0.911
Ru: 0.750 0.629 0.588
Ru: 0.250 0.877 0.080
Ir: 0.250 0.368 0.089

Compound: ReIr6Ru
Source: the Alexandria database
Functional: PBE
Structure: optimized geometry

Results
* DFT formation energy: -0.056 eV per atom
* VASP energy: -75.33 eV for the cell shown
* DOS at the Fermi energy: 1.361 states/eV per atom

a b c (Å): 3.871 3.871 7.729
angles (deg): 90.00 90.00 90.00
Element x y z (fractional)
Ir: 0.500 0.500 0.500
Ir: 0.000 0.500 0.251
Ru: 0.000 0.000 0.000
Ir: 0.500 0.500 0.000
Ir: 0.500 0.000 0.749
Ir: 0.500 0.000 0.251
Re: 0.000 0.000 0.500
Ir: 0.000 0.500 0.749

Compound: ReIrRu2
Source: the Alexandria database
Functional: PBE
Structure: optimized geometry

Results
* DFT formation energy: -0.143 eV per atom
* VASP energy: -40.43 eV for the cell shown
* DOS at the Fermi energy: 0.610 states/eV per atom

a b c (Å): 4.349 2.743 4.775
angles (deg): 90.00 90.00 90.00
Element x y z (fractional)
Ir: 0.000 0.375 0.539
Ru: 0.000 0.875 0.042
Ru: 0.500 0.375 0.203
Re: 0.500 0.875 0.715

Compound: Re4Ir12Ru3
Source: the Alexandria database
Functional: PBE
Structure: optimized geometry

Results
* DFT formation energy: 0.837 eV per atom
* VASP energy: -168.05 eV for the cell shown
* DOS at the Fermi energy: 1.064 states/eV per atom

a b c (Å): 8.030 8.030 8.030
angles (deg): 109.47 109.47 109.47
Element x y z (fractional)
Ir: 0.377 0.737 0.640
Ir: 0.737 0.640 0.377
Re: 0.000 0.500 0.000
Ir: 0.640 0.902 0.263
Ru: 0.500 0.500 0.000
Ir: 0.263 0.640 0.902
Ru: 0.500 0.000 0.500
Re: 0.500 0.000 0.000
Ir: 0.737 0.360 0.098
Ir: 0.098 0.737 0.360
Ir: 0.263 0.360 0.623
Ru: 0.000 0.500 0.500
Ir: 0.360 0.098 0.737
Re: 0.500 0.500 0.500
Re: 0.000 0.000 0.500
Ir: 0.640 0.377 0.737
Ir: 0.902 0.263 0.640
Ir: 0.623 0.263 0.360
Ir: 0.360 0.623 0.263

Compound: ReIr3Ru
Source: the Alexandria database
Functional: PBE
Structure: optimized geometry

Results
* DFT formation energy: 2.358 eV per atom
* VASP energy: -36.52 eV for the cell shown
* DOS at the Fermi energy: 1.393 states/eV per atom

a b c (Å): 4.630 4.630 4.630
angles (deg): 90.00 90.00 90.00
Element x y z (fractional)
Ir: 0.500 0.000 0.000
Ir: 0.000 0.500 0.000
Re: 0.500 0.500 0.500
Ru: 0.000 0.000 0.000
Ir: 0.000 0.000 0.500

Compound: ReIr3Ru
Source: the Alexandria database
Functional: PBE
Structure: optimized geometry

Results
* DFT formation energy: 0.093 eV per atom
* VASP energy: -95.68 eV for the cell shown
* DOS at the Fermi energy: 0.998 states/eV per atom

a b c (Å): 4.688 5.486 7.612
angles (deg): 122.69 114.22 72.74
Element x y z (fractional)
Ru: 0.821 0.269 0.645
Ru: 0.223 0.309 0.509
Ir: 0.216 0.820 0.508
Ir: 0.828 0.759 0.646
Ir: 0.562 0.302 0.274
Ir: 0.015 0.554 0.077
Re: 0.484 0.788 0.886
Ir: 0.482 0.276 0.881
Re: 0.560 0.791 0.269
Ir: 0.029 0.025 0.077

Compound: ReIr4Ru2
Source: the Alexandria database
Functional: PBE
Structure: optimized geometry

Results
* DFT formation energy: 0.274 eV per atom
* VASP energy: -129.06 eV for the cell shown
* DOS at the Fermi energy: 0.854 states/eV per atom

a b c (Å): 3.753 5.377 10.909
angles (deg): 90.00 90.00 90.00
Element x y z (fractional)
Ru: 0.500 0.237 0.116
Re: 0.000 0.000 0.500
Ir: 0.000 0.485 0.242
Ir: 0.500 0.757 0.623
Ru: 0.500 0.737 0.384
Ir: 0.000 0.985 0.258
Ir: 0.000 0.015 0.742
Ir: 0.500 0.257 0.877
Ir: 0.500 0.243 0.377
Ir: 0.500 0.743 0.123
Ru: 0.500 0.263 0.616
Re: 0.000 0.500 0.000
Ru: 0.500 0.763 0.884
Ir: 0.000 0.515 0.758

Compound: ReIrRu
Source: the Alexandria database
Functional: PBE
Structure: optimized geometry

Results
* DFT formation energy: -0.084 eV per atom
* VASP energy: -123.35 eV for the cell shown
* DOS at the Fermi energy: 1.049 states/eV per atom

a b c (Å): 3.864 5.460 8.212
angles (deg): 90.00 90.00 90.00
Element x y z (fractional)
Ir: 0.750 0.874 0.586
Re: 0.250 0.119 0.081
Ir: 0.250 0.126 0.414
Re: 0.750 0.381 0.581
Ru: 0.750 0.878 0.246
Re: 0.750 0.881 0.919
Ru: 0.250 0.622 0.746
Ru: 0.250 0.122 0.754
Ir: 0.750 0.374 0.914
Ir: 0.250 0.626 0.086
Re: 0.250 0.619 0.419
Ru: 0.750 0.378 0.254

Compound: ReIrRu2
Source: the Alexandria database
Functional: PBE
Structure: optimized geometry

Results
* DFT formation energy: -0.017 eV per atom
* VASP energy: -39.93 eV for the cell shown
* DOS at the Fermi energy: 1.077 states/eV per atom

a b c (Å): 4.723 4.723 4.724
angles (deg): 80.51 80.51 33.46
Element x y z (fractional)
Ru: 0.749 0.749 0.755
Ru: 0.000 0.000 0.998
Re: 0.250 0.250 0.249
Ir: 0.501 0.501 0.497

Compound: ReIr6Ru2
Source: the Alexandria database
Functional: PBE
Structure: optimized geometry

Results
* DFT formation energy: -0.072 eV per atom
* VASP energy: -84.82 eV for the cell shown
* DOS at the Fermi energy: 0.948 states/eV per atom

a b c (Å): 3.860 4.729 8.196
angles (deg): 73.38 76.38 65.91
Element x y z (fractional)
Ru: 0.335 0.608 0.721
Ir: 0.335 0.279 0.052
Ir: 0.001 0.827 0.172
Ru: 0.665 0.392 0.279
Ir: 0.334 0.940 0.392
Re: 0.000 0.500 0.500
Ir: 0.999 0.173 0.828
Ir: 0.665 0.721 0.948
Ir: 0.666 0.060 0.608

Compound: ReIr2Ru
Source: the Alexandria database
Functional: PBE
Structure: optimized geometry

Results
* DFT formation energy: -0.090 eV per atom
* VASP energy: -39.81 eV for the cell shown
* DOS at the Fermi energy: 1.065 states/eV per atom

a b c (Å): 6.088 4.748 2.725
angles (deg): 90.05 63.33 120.82
Element x y z (fractional)
Ir: 0.500 0.000 0.500
Re: 0.000 0.500 0.500
Ir: 0.000 0.000 0.000
Ru: 0.500 0.500 0.000

Compound: ReIr2Ru
Source: the Alexandria database
Functional: PBE
Structure: optimized geometry

Results
* DFT formation energy: -0.058 eV per atom
* VASP energy: -39.68 eV for the cell shown
* DOS at the Fermi energy: 0.860 states/eV per atom

a b c (Å): 4.750 4.750 4.727
angles (deg): 80.57 80.57 33.32
Element x y z (fractional)
Ir: 0.499 0.499 0.500
Ir: 0.001 0.001 0.000
Ru: 0.250 0.250 0.250
Re: 0.750 0.750 0.750